Record 1
The following is a DFT calculation (PBE) of a relaxed structure of TiCr2W.

- ΔH_f (0 K): -0.0194 eV/atom
- Size of the total moment: 0.00 μB/f.u.

a = 4.279 Å, b = 4.279 Å, c = 3.015 Å
α = 90.00°, β = 90.00°, γ = 90.00°
Element x y z (fractional)
Ti 0.000 0.000 0.000
Cr 0.000 0.500 0.500
Cr 0.500 0.000 0.500
W 0.500 0.500 0.000

Record 2
The following is a DFT calculation (PBE) of a relaxed structure of CaIrI3.

- Formation energy (no corrections): 0.474 eV/atom
- Excess energy over the best structure of this formula in the dataset: 0.716 eV per atom
- Size of the total moment: 4.00 μB/f.u.

a = 6.071 Å, b = 6.071 Å, c = 6.071 Å
α = 90.00°, β = 90.00°, γ = 90.00°
Element x y z (fractional)
Ca 0.000 0.000 0.000
Ir 0.500 0.500 0.500
I 0.000 0.000 0.500
I 0.000 0.500 0.000
I 0.500 0.000 0.000

Record 3
The following is a DFT calculation (PBE) of a relaxed structure of La2SnPd.

- ΔH_f (0 K): -0.7199 eV/atom
- Size of the total moment: 0.00 μB/f.u.

a = 7.286 Å, b = 6.645 Å, c = 6.580 Å
α = 66.86°, β = 57.00°, γ = 56.14°
Element x y z (fractional)
La 0.205 0.795 0.795
La 0.250 0.250 0.250
La 0.750 0.750 0.750
La 0.795 0.205 0.205
Sn 0.291 0.709 0.291
Sn 0.709 0.291 0.709
Pd 0.304 0.304 0.696
Pd 0.696 0.696 0.304

Record 4
The following is a DFT calculation (PBE) of a relaxed structure of Rb2CuAsO4.

- Formation energy (no corrections): -1.256 eV/atom
- Size of the total moment: 0.10 μB/f.u.

a = 11.745 Å, b = 10.451 Å, c = 6.559 Å
α = 84.02°, β = 62.24°, γ = 33.74°
Element x y z (fractional)
Rb 0.049 0.049 0.701
Rb 0.299 0.299 0.951
Rb 0.701 0.701 0.049
Rb 0.951 0.951 0.299
Cu 0.125 0.125 0.125
Cu 0.875 0.875 0.875
As 0.375 0.375 0.375
As 0.625 0.625 0.625
O 0.045 0.614 0.536
O 0.306 0.536 0.614
O 0.386 0.955 0.694
O 0.464 0.694 0.955
O 0.536 0.306 0.045
O 0.614 0.045 0.306
O 0.694 0.464 0.386
O 0.955 0.386 0.464

Record 5
The following is a DFT calculation (PBE) of a relaxed structure of Ta2BeC.

- Excess energy over the best structure of this formula in the dataset: 0.939 eV per atom
- ΔH_f (0 K): 0.6736 eV/atom
- Size of the total moment: 0.00 μB/f.u.

a = 5.813 Å, b = 5.813 Å, c = 5.813 Å
α = 90.00°, β = 90.00°, γ = 90.00°
Element x y z (fractional)
Ta 0.250 0.250 0.250
Ta 0.250 0.250 0.750
Ta 0.250 0.750 0.250
Ta 0.250 0.750 0.750
Ta 0.750 0.250 0.250
Ta 0.750 0.250 0.750
Ta 0.750 0.750 0.250
Ta 0.750 0.750 0.750
Be 0.000 0.000 0.000
Be 0.000 0.500 0.500
Be 0.500 0.000 0.500
Be 0.500 0.500 0.000
C 0.000 0.000 0.500
C 0.000 0.500 0.000
C 0.500 0.000 0.000
C 0.500 0.500 0.500

Record 6
The following is a DFT calculation (PBE) of a relaxed structure of CuSi2Rh.

- Formation energy (no corrections): -0.195 eV/atom
- Size of the total moment: 0.00 μB/f.u.

a = 3.879 Å, b = 3.879 Å, c = 6.917 Å
α = 90.00°, β = 90.00°, γ = 90.00°
Element x y z (fractional)
Cu 0.000 0.000 0.000
Cu 0.500 0.500 0.500
Si 0.000 0.500 0.250
Si 0.000 0.500 0.750
Si 0.500 0.000 0.250
Si 0.500 0.000 0.750
Rh 0.000 0.000 0.500
Rh 0.500 0.500 0.000